Entry 1:
Density functional theory data (PBE) for a relaxed AlW2Au crystal.

Summary:
E_tot	-8.069	eV per atom
crystal system	monoclinic
Fermi-level density of states	1.6	states/eV/f.u.

Unit cell a=4.3604 b=2.7748 c=5.7891 alpha=67.15 beta=90.00 gamma=90.00
Positions (direct):
Au1 0.5000 0.7500 0.7500
Al1 0.5000 0.2500 0.2500
W1 0.0000 0.0248 0.0164
W2 0.0000 0.4752 0.4836

***

Entry 2:
Density functional theory data (PBE) for a relaxed CaBe2As crystal.

Summary:
E_tot	-3.367	eV per atom
crystal system	tetragonal
Fermi-level density of states	3.7	states/eV/f.u.

Unit cell a=7.2597 b=7.2597 c=5.8641 alpha=51.76 beta=51.76 gamma=90.00
Positions (direct):
Be1 0.7092 0.1250 0.2500
Be2 0.0408 0.6250 0.2500
Be3 0.3750 0.2908 0.7500
Be4 0.8750 0.9592 0.7500
As1 0.0000 0.0000 0.0000
As2 0.7500 0.2500 0.5000
Ca1 0.5000 0.5000 0.0000
Ca2 0.2500 0.7500 0.5000

***

Entry 3:
Density functional theory data (PBE) for a relaxed MgGeTe2 crystal.

Summary:
distance to the lowest polymorph of the same formula	132.3	meV/atom
crystal system	tetragonal
Fermi-level density of states	0.0	states/eV/f.u.
raw formation energy	-289	meV/atom

Unit cell a=6.6020 b=6.6020 c=8.1947 alpha=66.25 beta=66.25 gamma=90.00
Positions (direct):
Ge1 0.0000 0.0000 0.0000
Ge2 0.7500 0.2500 0.5000
Te1 0.6117 0.1250 0.2500
Te2 0.1383 0.6250 0.2500
Te3 0.3750 0.3883 0.7500
Te4 0.8750 0.8617 0.7500
Mg1 0.5000 0.5000 0.0000
Mg2 0.2500 0.7500 0.5000

***

Entry 4:
Density functional theory data (PBE) for a relaxed N crystal.

Summary:
distance to the lowest polymorph of the same formula	0.4	meV/atom
crystal system	orthorhombic
Fermi-level density of states	0.0	states/eV/f.u.
raw formation energy	0	meV/atom

Unit cell a=4.0771 b=4.5104 c=6.7077 alpha=90.00 beta=127.33 gamma=90.00
Positions (direct):
N1 0.1049 0.0000 0.1044
N2 0.8951 0.0000 0.8956
N3 0.1049 0.5000 0.6044
N4 0.8951 0.5000 0.3956

***

Entry 5:
Density functional theory data (PBE) for a relaxed TiHPdRu2 crystal.

Summary:
distance to the lowest polymorph of the same formula	17.5	meV/atom
crystal system	tetragonal
Fermi-level density of states	4.2	states/eV/f.u.

Unit cell a=3.9335 b=3.9335 c=3.9008 alpha=90.00 beta=90.00 gamma=90.00
Positions (direct):
Ru1 0.0000 0.5000 0.0000
Ru2 0.5000 0.0000 0.0000
H1 0.0000 0.0000 0.0000
Pd1 0.0000 0.0000 0.5000
Ti1 0.5000 0.5000 0.5000

***

Entry 6:
Density functional theory data (PBE) for a relaxed LaTeSeN2 crystal.

Summary:
distance to the lowest polymorph of the same formula	465.5	meV/atom
crystal system	tetragonal
Fermi-level density of states	4.7	states/eV/f.u.
raw formation energy	724	meV/atom

Unit cell a=4.2748 b=4.2748 c=6.5793 alpha=90.00 beta=90.00 gamma=90.00
Site moments in Bohr magnetons follow the coordinates.
Positions (direct):
N1 0.0000 0.5000 0.0000  0.10
N2 0.5000 0.0000 0.0000  0.10
Te1 0.5000 0.5000 0.5000  0.02
Se1 0.0000 0.0000 0.5000  0.00
La1 0.0000 0.0000 0.0000  0.01

***

Entry 7:
Density functional theory data (PBE) for a relaxed LaGeTe2N crystal.

Summary:
distance to the lowest polymorph of the same formula	0.0	meV/atom
crystal system	tetragonal
Fermi-level density of states	2.5	states/eV/f.u.
raw formation energy	-117	meV/atom

Unit cell a=5.6412 b=5.6412 c=3.8579 alpha=90.00 beta=90.00 gamma=90.00
Site moments in Bohr magnetons follow the coordinates.
Positions (direct):
N1 0.0000 0.0000 0.5000  0.16
Ge1 0.0000 0.0000 0.0000  -0.01
Te1 0.0000 0.5000 0.0000  0.02
Te2 0.5000 0.0000 0.0000  0.02
La1 0.5000 0.5000 0.5000  0.00

***

Entry 8:
Density functional theory data (PBE) for a relaxed FeIrAu2N crystal.

Summary:
crystal system	tetragonal
Fermi-level density of states	3.5	states/eV/f.u.
raw formation energy	753	meV/atom

Unit cell a=4.4209 b=3.7010 c=4.4209 alpha=90.00 beta=90.00 gamma=90.00
Site moments in Bohr magnetons follow the coordinates.
Positions (direct):
Ir1 0.5000 0.5000 0.5000  0.69
Au1 0.0000 0.0000 0.5000  0.03
Au2 0.5000 0.0000 0.0000  0.07
Fe1 0.0000 0.5000 0.0000  2.70
N1 0.0000 0.0000 0.0000  0.03

***

| no. | volume (Å³ per cell) |
| --- | --- |
| 1 | 65 |
| 2 | 149 |
| 3 | 294 |
| 4 | 98 |
| 5 | 60 |
| 6 | 120 |
| 7 | 123 |
| 8 | 72 |